[1]
{
  "formula": "PrPa2Rh",
  "functional": "PBE",
  "state": "relaxed",
  "ef_ev_per_atom": 0.146,
  "lattice_angstrom": [[-1.810, 0.140, -3.825], [-0.655, -3.579, -2.164], [-6.850, -1.755, 0.834]],
  "species": ["Pr", "Pa", "Pa", "Rh"],
  "frac_coords": [[0.500, 0.500, 0.500], [0.266, 0.266, 0.203], [0.734, 0.734, 0.797], [0.000, 0.000, 0.000]]
}

=====

[2]
{
  "formula": "Pr2PaRh3",
  "functional": "PBE",
  "state": "relaxed",
  "ef_ev_per_atom": -0.695,
  "lattice_angstrom": [[-5.250, 5.452, -2.189], [1.689, -5.996, -4.824], [-2.655, -2.647, 4.512]],
  "species": ["Pr", "Pr", "Pr", "Pr", "Pa", "Pa", "Rh", "Rh", "Rh", "Rh", "Rh", "Rh"],
  "frac_coords": [[0.833, 0.167, 0.500], [0.333, 0.667, 0.000], [0.167, 0.833, 0.500], [0.499, 0.501, 0.500], [0.000, 0.000, 0.000], [0.667, 0.333, 0.000], [0.630, 0.964, 0.842], [0.036, 0.370, 0.158], [0.931, 0.614, 0.842], [0.281, 0.264, 0.842], [0.386, 0.069, 0.158], [0.736, 0.719, 0.158]]
}

=====

[3]
{
  "formula": "PrPaRh3",
  "functional": "PBE",
  "state": "relaxed",
  "ef_ev_per_atom": -0.555,
  "de_polymorph_mev_per_atom": 159,
  "lattice_angstrom": [[5.938, 0.000, 0.004], [2.969, 5.142, 0.001], [2.972, 1.712, 7.717]],
  "species": ["Pr", "Pr", "Pa", "Pa", "Rh", "Rh", "Rh", "Rh", "Rh", "Rh"],
  "frac_coords": [[0.441, 0.567, 0.470], [0.679, 0.806, 0.754], [0.051, 0.179, 0.636], [0.890, 0.016, 0.121], [0.967, 0.093, 0.385], [0.610, 0.280, 0.875], [0.152, 0.737, 0.875], [0.152, 0.280, 0.875], [0.967, 0.599, 0.385], [0.473, 0.093, 0.385]]
}

=====

[4]
{
  "formula": "Pr2PaRh2",
  "functional": "PBE",
  "state": "relaxed",
  "ef_ev_per_atom": -0.661,
  "lattice_angstrom": [[6.386, 0.212, 0.888], [2.994, 5.644, 0.888], [0.159, 0.099, 7.276]],
  "species": ["Pr", "Pr", "Pr", "Pr", "Pa", "Pa", "Rh", "Rh", "Rh", "Rh"],
  "frac_coords": [[0.460, 0.240, 0.144], [0.760, 0.540, 0.356], [0.540, 0.760, 0.856], [0.240, 0.460, 0.644], [0.081, 0.919, 0.250], [0.919, 0.081, 0.750], [0.717, 0.997, 0.515], [0.003, 0.283, 0.985], [0.283, 0.003, 0.485], [0.997, 0.717, 0.015]]
}

=====

[5]
{
  "formula": "PrPaRuRh",
  "functional": "PBE",
  "state": "relaxed",
  "ef_ev_per_atom": -0.357,
  "lattice_angstrom": [[-0.432, -1.365, 4.719], [3.783, -2.181, 2.292], [2.487, 2.420, 3.504]],
  "species": ["Pr", "Ru", "Pa", "Rh"],
  "frac_coords": [[0.500, 0.500, 0.500], [0.250, 0.250, 0.250], [0.000, 0.000, 0.000], [0.750, 0.750, 0.750]]
}

=====

[6]
{
  "formula": "Pr2ScPa2Rh5",
  "functional": "PBE",
  "state": "relaxed",
  "ef_ev_per_atom": -0.629,
  "lattice_angstrom": [[3.511, 0.000, 0.000], [0.000, 10.964, 0.000], [0.000, 0.000, 10.964]],
  "species": ["Pr", "Pr", "Pr", "Pr", "Sc", "Sc", "Pa", "Pa", "Pa", "Pa", "Rh", "Rh", "Rh", "Rh", "Rh", "Rh", "Rh", "Rh", "Rh", "Rh"],
  "frac_coords": [[0.000, 0.668, 0.168], [0.000, 0.332, 0.832], [0.000, 0.168, 0.332], [0.000, 0.832, 0.668], [0.000, 0.000, 0.000], [0.000, 0.500, 0.500], [0.000, 0.141, 0.641], [0.000, 0.859, 0.359], [0.000, 0.641, 0.859], [0.000, 0.359, 0.141], [0.500, 0.190, 0.061], [0.500, 0.810, 0.939], [0.500, 0.061, 0.810], [0.500, 0.690, 0.439], [0.500, 0.939, 0.190], [0.500, 0.310, 0.561], [0.500, 0.561, 0.690], [0.500, 0.439, 0.310], [0.500, 0.500, 0.000], [0.500, 0.000, 0.500]]
}

=====

[7]
{
  "formula": "PrPaSi2Rh5",
  "functional": "PBE",
  "state": "relaxed",
  "raw_formation_energy_ev_per_atom": -0.7389,
  "lattice_angstrom": [[-1.867, 3.078, 1.845], [-3.405, -2.176, 0.186], [3.056, -3.953, 9.689]],
  "species": ["Pr", "Pa", "Si", "Si", "Rh", "Rh", "Rh", "Rh", "Rh"],
  "frac_coords": [[0.000, 0.000, 0.500], [0.000, 0.000, 0.000], [0.500, 0.500, 0.286], [0.500, 0.500, 0.714], [0.000, 0.500, 0.174], [0.500, 0.000, 0.174], [0.000, 0.500, 0.826], [0.500, 0.000, 0.826], [0.500, 0.500, 0.500]]
}

=====

[8]
{
  "formula": "TbPrPa2Rh4",
  "functional": "PBE",
  "state": "relaxed",
  "ef_ev_per_atom": -0.652,
  "lattice_angstrom": [[5.674, 0.599, 0.000], [-0.021, 5.705, 0.000], [-2.826, -3.152, 5.514]],
  "species": ["Tb", "Pr", "Pa", "Pa", "Rh", "Rh", "Rh", "Rh"],
  "frac_coords": [[0.509, 0.509, 0.000], [0.926, 0.926, 0.000], [0.164, 0.664, 0.500], [0.664, 0.164, 0.500], [0.018, 0.409, 0.000], [0.409, 0.018, 0.000], [0.169, 0.169, 0.533], [0.637, 0.637, 0.467]]
}

=====

[9]
{
  "formula": "PrPaTcRh",
  "functional": "PBE",
  "state": "relaxed",
  "ef_ev_per_atom": -0.207,
  "lattice_angstrom": [[4.948, 0.000, 0.000], [2.474, 4.285, 0.000], [2.474, 1.428, 4.040]],
  "species": ["Pr", "Pa", "Rh", "Tc"],
  "frac_coords": [[0.750, 0.750, 0.750], [0.250, 0.250, 0.250], [0.500, 0.500, 0.500], [0.000, 0.000, 0.000]]
}

=====

[10]
{
  "formula": "Pr2TmPa2Rh5",
  "functional": "PBE",
  "state": "relaxed",
  "ef_ev_per_atom": -0.650,
  "lattice_angstrom": [[-3.582, 0.024, -0.112], [0.270, -5.116, -9.751], [-0.225, -9.755, 5.112]],
  "species": ["Pr", "Pr", "Pr", "Pr", "Tm", "Tm", "Pa", "Pa", "Pa", "Pa", "Rh", "Rh", "Rh", "Rh", "Rh", "Rh", "Rh", "Rh", "Rh", "Rh"],
  "frac_coords": [[0.000, 0.671, 0.171], [0.000, 0.329, 0.829], [0.000, 0.171, 0.329], [0.000, 0.829, 0.671], [0.000, 0.000, 0.000], [0.000, 0.500, 0.500], [0.000, 0.138, 0.638], [0.000, 0.862, 0.362], [0.000, 0.638, 0.862], [0.000, 0.362, 0.138], [0.500, 0.199, 0.056], [0.500, 0.801, 0.944], [0.500, 0.056, 0.801], [0.500, 0.699, 0.444], [0.500, 0.944, 0.199], [0.500, 0.301, 0.556], [0.500, 0.556, 0.699], [0.500, 0.444, 0.301], [0.500, 0.500, 0.000], [0.500, 0.000, 0.500]]
}

=====

[11]
{
  "formula": "Pr2YPa2Rh5",
  "functional": "PBE",
  "state": "relaxed",
  "ef_ev_per_atom": -0.637,
  "lattice_angstrom": [[3.621, 0.000, 0.000], [0.000, 11.041, 0.000], [0.000, 0.000, 11.041]],
  "species": ["Pr", "Pr", "Pr", "Pr", "Y", "Y", "Pa", "Pa", "Pa", "Pa", "Rh", "Rh", "Rh", "Rh", "Rh", "Rh", "Rh", "Rh", "Rh", "Rh"],
  "frac_coords": [[0.000, 0.673, 0.173], [0.000, 0.327, 0.827], [0.000, 0.173, 0.327], [0.000, 0.827, 0.673], [0.000, 0.000, 0.000], [0.000, 0.500, 0.500], [0.000, 0.136, 0.636], [0.000, 0.864, 0.364], [0.000, 0.636, 0.864], [0.000, 0.364, 0.136], [0.500, 0.207, 0.051], [0.500, 0.793, 0.949], [0.500, 0.051, 0.793], [0.500, 0.707, 0.449], [0.500, 0.949, 0.207], [0.500, 0.293, 0.551], [0.500, 0.551, 0.707], [0.500, 0.449, 0.293], [0.500, 0.500, 0.000], [0.500, 0.000, 0.500]]
}

=====

[12]
{
  "formula": "Pr3PaRu3",
  "functional": "PBE",
  "state": "relaxed",
  "ef_ev_per_atom": -0.273,
  "lattice_angstrom": [[3.986, 0.000, 0.600], [1.989, 6.329, 0.326], [-0.065, -0.381, 13.961]],
  "species": ["Pr", "Pr", "Pr", "Pr", "Pr", "Pr", "Pa", "Pa", "Ru", "Ru", "Ru", "Ru", "Ru", "Ru"],
  "frac_coords": [[0.492, 0.384, 0.633], [0.508, 0.616, 0.367], [0.267, 0.267, 0.199], [0.733, 0.733, 0.801], [0.399, 0.276, 0.926], [0.601, 0.724, 0.074], [0.771, 0.064, 0.394], [0.229, 0.936, 0.606], [0.872, 0.723, 0.533], [0.128, 0.277, 0.467], [0.104, 0.859, 0.934], [0.896, 0.141, 0.066], [0.934, 0.888, 0.245], [0.066, 0.112, 0.755]]
}

=====

[13]
{
  "formula": "PrPa2Ru",
  "functional": "PBE",
  "state": "relaxed",
  "ef_ev_per_atom": -0.046,
  "de_polymorph_mev_per_atom": 0,
  "lattice_angstrom": [[-0.591, 0.421, 3.503], [0.907, -3.414, 0.563], [7.546, 2.172, 1.012]],
  "species": ["Pr", "Ru", "Pa", "Pa"],
  "frac_coords": [[0.500, 0.500, 0.500], [0.500, 0.500, 0.000], [0.000, 0.000, 0.816], [0.000, 0.000, 0.184]]
}

=====

[14]
{
  "formula": "PrPa2Ru4",
  "functional": "PBE",
  "state": "relaxed",
  "ef_ev_per_atom": -0.370,
  "lattice_angstrom": [[7.554, 0.067, 0.521], [-0.479, 5.755, -0.827], [-2.836, -3.654, 6.893]],
  "species": ["Pr", "Pr", "Pa", "Pa", "Pa", "Pa", "Ru", "Ru", "Ru", "Ru", "Ru", "Ru", "Ru", "Ru"],
  "frac_coords": [[0.218, 0.723, 0.510], [0.094, 0.063, 0.988], [0.580, 0.428, 0.718], [0.619, 0.802, 0.339], [0.742, 0.174, 0.145], [0.074, 0.359, 0.738], [0.038, 0.099, 0.361], [0.214, 0.693, 0.132], [0.850, 0.517, 0.551], [0.668, 0.943, 0.690], [0.444, 0.264, 0.367], [0.438, 0.317, 0.943], [0.427, 0.826, 0.956], [0.843, 0.543, 0.062]]
}

=====

[15]
{
  "formula": "PrPa2Ru",
  "functional": "PBE",
  "state": "relaxed",
  "ef_ev_per_atom": 0.004,
  "de_polymorph_mev_per_atom": 50,
  "lattice_angstrom": [[-0.872, 3.176, 1.663], [-1.133, -0.006, 3.511], [7.998, 1.971, 4.522]],
  "species": ["Pr", "Ru", "Pa", "Pa"],
  "frac_coords": [[0.500, 0.500, 0.500], [0.000, 0.000, 0.000], [0.271, 0.271, 0.188], [0.729, 0.729, 0.812]]
}

=====

[16]
{
  "formula": "PrPaTcRu",
  "functional": "PBE",
  "state": "relaxed",
  "ef_ev_per_atom": -0.037,
  "lattice_angstrom": [[-1.035, -4.728, -0.973], [3.288, -2.806, -2.383], [2.382, -3.594, 2.405]],
  "species": ["Pr", "Ru", "Pa", "Tc"],
  "frac_coords": [[0.750, 0.750, 0.750], [0.000, 0.000, 0.000], [0.250, 0.250, 0.250], [0.500, 0.500, 0.500]]
}

=====

[17]
{
  "formula": "Pr2TmPa2Ru5",
  "functional": "PBE",
  "state": "relaxed",
  "ef_ev_per_atom": -0.260,
  "lattice_angstrom": [[3.427, 0.000, 0.000], [0.000, 11.187, 0.000], [0.000, 0.000, 11.187]],
  "species": ["Pr", "Pr", "Pr", "Pr", "Tm", "Tm", "Pa", "Pa", "Pa", "Pa", "Ru", "Ru", "Ru", "Ru", "Ru", "Ru", "Ru", "Ru", "Ru", "Ru"],
  "frac_coords": [[0.000, 0.666, 0.166], [0.000, 0.334, 0.834], [0.000, 0.166, 0.334], [0.000, 0.834, 0.666], [0.000, 0.000, 0.000], [0.000, 0.500, 0.500], [0.000, 0.146, 0.646], [0.000, 0.854, 0.354], [0.000, 0.646, 0.854], [0.000, 0.354, 0.146], [0.500, 0.213, 0.045], [0.500, 0.787, 0.955], [0.500, 0.045, 0.787], [0.500, 0.713, 0.455], [0.500, 0.955, 0.213], [0.500, 0.287, 0.545], [0.500, 0.545, 0.713], [0.500, 0.455, 0.287], [0.500, 0.500, 0.000], [0.500, 0.000, 0.500]]
}

=====

[18]
{
  "formula": "Pr2U2PaRu5",
  "functional": "PBE",
  "state": "relaxed",
  "ef_ev_per_atom": -0.253,
  "lattice_angstrom": [[3.636, 0.000, 0.000], [0.000, 10.652, 0.000], [0.000, 0.000, 10.652]],
  "species": ["Pr", "Pr", "Pr", "Pr", "U", "U", "U", "U", "Pa", "Pa", "Ru", "Ru", "Ru", "Ru", "Ru", "Ru", "Ru", "Ru", "Ru", "Ru"],
  "frac_coords": [[0.000, 0.677, 0.177], [0.000, 0.323, 0.823], [0.000, 0.177, 0.323], [0.000, 0.823, 0.677], [0.000, 0.134, 0.634], [0.000, 0.866, 0.366], [0.000, 0.634, 0.866], [0.000, 0.366, 0.134], [0.000, 0.000, 0.000], [0.000, 0.500, 0.500], [0.500, 0.199, 0.052], [0.500, 0.801, 0.948], [0.500, 0.052, 0.801], [0.500, 0.699, 0.448], [0.500, 0.948, 0.199], [0.500, 0.301, 0.552], [0.500, 0.552, 0.699], [0.500, 0.448, 0.301], [0.500, 0.500, 0.000], [0.500, 0.000, 0.500]]
}

=====

[19]
{
  "formula": "Pr2YPa2Ru5",
  "functional": "PBE",
  "state": "relaxed",
  "ef_ev_per_atom": -0.244,
  "lattice_angstrom": [[-2.030, -2.514, 1.820], [-5.128, -2.506, -9.180], [7.453, -7.542, -2.104]],
  "species": ["Pr", "Pr", "Pr", "Pr", "Y", "Y", "Pa", "Pa", "Pa", "Pa", "Ru", "Ru", "Ru", "Ru", "Ru", "Ru", "Ru", "Ru", "Ru", "Ru"],
  "frac_coords": [[0.000, 0.675, 0.175], [0.000, 0.325, 0.825], [0.000, 0.175, 0.325], [0.000, 0.825, 0.675], [0.000, 0.000, 0.000], [0.000, 0.500, 0.500], [0.000, 0.133, 0.633], [0.000, 0.867, 0.367], [0.000, 0.633, 0.867], [0.000, 0.367, 0.133], [0.500, 0.213, 0.052], [0.500, 0.787, 0.948], [0.500, 0.052, 0.787], [0.500, 0.713, 0.448], [0.500, 0.948, 0.213], [0.500, 0.287, 0.552], [0.500, 0.552, 0.713], [0.500, 0.448, 0.287], [0.500, 0.500, 0.000], [0.500, 0.000, 0.500]]
}

=====

[20]
{
  "formula": "PrPaZnRu",
  "functional": "PBE",
  "state": "relaxed",
  "ef_ev_per_atom": -0.067,
  "lattice_angstrom": [[5.001, 0.000, 0.000], [2.500, 4.331, 0.000], [2.500, 1.444, 4.083]],
  "species": ["Pr", "Ru", "Zn", "Pa"],
  "frac_coords": [[0.500, 0.500, 0.500], [0.750, 0.750, 0.750], [0.250, 0.250, 0.250], [0.000, 0.000, 0.000]]
}